[1]
The following is a DFT calculation (PBE) of crystalline LiHoAs2O6 at its relaxed geometry.

Output
Energy = -6.408 eV per atom
Volume = 128.3 Å³/f.u.

Unit cell a=6.7159 b=6.7159 c=6.8439 alpha=113.64 beta=113.64 gamma=73.97
Fractional coordinates of all 20 atoms:
Li 0.2226 0.7774 0.7500
Li 0.7774 0.2226 0.2500
Ho 0.1693 0.8307 0.2500
Ho 0.8307 0.1693 0.7500
As 0.2718 0.3328 0.3021
As 0.3328 0.2718 0.8021
As 0.6672 0.7282 0.1979
As 0.7282 0.6672 0.6979
O 0.0512 0.1803 0.1768
O 0.1803 0.0512 0.6768
O 0.1805 0.6046 0.4346
O 0.2374 0.4311 0.0419
O 0.3954 0.8195 0.0654
O 0.4311 0.2374 0.5419
O 0.5689 0.7626 0.4581
O 0.6046 0.1805 0.9346
O 0.7626 0.5689 0.9581
O 0.8195 0.3954 0.5654
O 0.8197 0.9488 0.3232
O 0.9488 0.8197 0.8232

[2]
The following is a DFT calculation (PBE) of crystalline LiHoAsO4 at its relaxed geometry.

Output
Energy = -6.513 eV per atom
Volume = 91.0 Å³/f.u.

Unit cell a=6.2438 b=6.2438 c=6.2438 alpha=116.80 beta=113.99 gamma=98.20
Fractional coordinates of all 14 atoms:
Li 0.5000 0.0000 0.0000
Li 0.5000 0.5000 0.5000
Ho 0.0000 0.0000 0.0000
Ho 0.5000 0.0000 0.5000
As 0.1528 0.4028 0.7500
As 0.8472 0.5972 0.2500
O 0.1872 0.7244 0.4628
O 0.2385 0.2756 0.9628
O 0.2649 0.2400 0.4751
O 0.2649 0.7897 0.0249
O 0.7351 0.2103 0.9751
O 0.7351 0.7600 0.5249
O 0.7615 0.7244 0.0372
O 0.8128 0.2756 0.5372

[3]
The following is a DFT calculation (PBE) of crystalline Li3Ho3AsO8 at its relaxed geometry.

Output
Energy = -6.755 eV per atom
Volume = 187.6 Å³/f.u.

Unit cell a=6.2619 b=6.2619 c=6.2619 alpha=63.65 beta=63.65 gamma=63.65
Fractional coordinates of all 15 atoms:
Li 0.0000 0.5000 0.5000
Li 0.5000 0.0000 0.5000
Li 0.5000 0.5000 0.0000
Ho 0.0000 0.0000 0.5000
Ho 0.0000 0.5000 0.0000
Ho 0.5000 0.0000 0.0000
As 0.5000 0.5000 0.5000
O 0.2443 0.2443 0.2443
O 0.2775 0.2775 0.7231
O 0.2775 0.7231 0.2775
O 0.2769 0.7225 0.7225
O 0.7231 0.2775 0.2775
O 0.7225 0.2769 0.7225
O 0.7225 0.7225 0.2769
O 0.7557 0.7557 0.7557

[4]
The following is a DFT calculation (PBE) of crystalline LiHo2AsPb at its relaxed geometry.

Output
Energy = -4.654 eV per atom
Volume = 125.5 Å³/f.u.

Unit cell a=7.6638 b=4.1339 c=8.2851 alpha=90.00 beta=107.02 gamma=90.00
Fractional coordinates of all 10 atoms:
Li 0.0426 0.2500 0.1408
Li 0.9574 0.7500 0.8592
Ho 0.2550 0.7500 0.5223
Ho 0.3763 0.7500 0.1081
Ho 0.6237 0.2500 0.8919
Ho 0.7450 0.2500 0.4777
As 0.3527 0.2500 0.3301
As 0.6473 0.7500 0.6699
Pb 0.1817 0.2500 0.7983
Pb 0.8183 0.7500 0.2017

[5]
The following is a DFT calculation (PBE) of crystalline LiHoAsPd at its relaxed geometry.

Output
Energy = -4.896 eV per atom
Volume = 75.2 Å³/f.u.

Unit cell a=6.7004 b=6.7004 c=6.7004 alpha=90.00 beta=90.00 gamma=90.00
Fractional coordinates of all 16 atoms:
Li 0.0000 0.0000 0.0000
Li 0.0000 0.5000 0.5000
Li 0.5000 0.0000 0.5000
Li 0.5000 0.5000 0.0000
Ho 0.0000 0.0000 0.5000
Ho 0.0000 0.5000 0.0000
Ho 0.5000 0.0000 0.0000
Ho 0.5000 0.5000 0.5000
As 0.2500 0.2500 0.2500
As 0.2500 0.7500 0.7500
As 0.7500 0.2500 0.7500
As 0.7500 0.7500 0.2500
Pd 0.2500 0.2500 0.7500
Pd 0.2500 0.7500 0.2500
Pd 0.7500 0.2500 0.2500
Pd 0.7500 0.7500 0.7500

[6]
The following is a DFT calculation (PBE) of crystalline Li2HoAs2Pd2 at its relaxed geometry.

Output
Energy = -4.888 eV per atom
Volume = 120.5 Å³/f.u.

Unit cell a=8.0097 b=8.0097 c=8.0097 alpha=30.94 beta=30.94 gamma=30.94
Fractional coordinates of all 7 atoms:
Li 0.1413 0.1413 0.1413
Li 0.8587 0.8587 0.8587
Ho 0.0000 0.0000 0.0000
As 0.2558 0.2558 0.2558
As 0.7442 0.7442 0.7442
Pd 0.4250 0.4250 0.4250
Pd 0.5750 0.5750 0.5750